Computed, not measured: a relaxed LaGdGa2 crystal at the PBE-GGA level of DFT.

Cell and atoms, written as CIF:
```
data_LaGdGa2
_chemical_formula_sum 'La4 Gd4 Ga8'
_cell_length_a 7.397
_cell_length_b 7.397
_cell_length_c 7.397
_cell_angle_alpha 90.00
_cell_angle_beta 90.00
_cell_angle_gamma 90.00
_space_group_name_H-M_alt 'F m -3 m'
_space_group_IT_number 225
_space_group_name_Hall '-F 4 2 3'
loop_
_atom_site_label
_atom_site_fract_x
_atom_site_fract_y
_atom_site_fract_z
La1 0.000 0.000 0.000
Gd1 0.000 0.000 0.500
Ga1 0.250 0.250 0.250
```

Summary:
D(E_F) in states/eV/f.u.: 2.348
Spin magnetization in μB/f.u.: 7.129
E_tot in eV for the cell shown: -109.35
Energy of formation in eV per formula unit: -2.27